[1]
Crystalline Ca2PPt at its relaxed geometry. Source: the Alexandria database, functional PBE.

Values from the calculation:
ΔH_f (0 K)	-0.65	eV/atom
E above lowest polymorph	0.3438	eV/atom
energy	-4.5093	eV/atom

Cell: 4.140 4.140 5.883 Å, 90.00 90.00 90.00°
Space group P4/mmm (No. 123)
Symmetry-distinct sites (fractional):
Ca1 0.000 0.000 0.000
Ca2 0.500 0.500 0.500
P1 0.000 0.000 0.500
Pt1 0.500 0.500 0.000

---

[2]
Crystalline CaPPt2 at its relaxed geometry. Source: the Alexandria database, functional PBE.

Values from the calculation:
ΔH_f (0 K)	-0.80	eV/atom
E above lowest polymorph	0.0000	eV/atom
energy	-5.6684	eV/atom

Cell: 4.073 4.073 4.818 Å, 90.00 90.00 90.00°
Space group P4mm (No. 99)
Symmetry-distinct sites (fractional):
Ca1 0.000 0.000 0.000
P1 0.500 0.500 0.288
Pt1 0.000 0.500 0.523

---

[3]
Crystalline CaPPt2 at its relaxed geometry. Source: the Alexandria database, functional PBE.

Values from the calculation:
ΔH_f (0 K)	-0.76	eV/atom
E above lowest polymorph	0.0334	eV/atom
energy	-5.6350	eV/atom

Cell: 9.285 3.720 4.981 Å, 90.00 108.44 90.00°
Space group Cm (No. 8)
Symmetry-distinct sites (fractional):
Ca1 0.000 0.000 0.000
P1 0.298 0.500 0.398
Pt1 0.208 0.000 0.581
Pt2 0.487 0.000 0.516

---

[4]
Crystalline CaPPt2 at its relaxed geometry. Source: the Alexandria database, functional PBE.

Values from the calculation:
ΔH_f (0 K)	-0.58	eV/atom
E above lowest polymorph	0.2177	eV/atom
energy	-5.4507	eV/atom

Cell: 3.502 4.821 8.569 Å, 90.00 90.00 90.00°
Space group Imm2 (No. 44)
Symmetry-distinct sites (fractional):
Ca1 0.000 0.000 0.000
P1 0.000 0.500 0.234
Pt1 0.000 0.000 0.556
Pt2 0.000 0.500 0.796

---

[5]
Crystalline Ca2P2Pt at its relaxed geometry. Source: the Alexandria database, functional PBE.

Values from the calculation:
ΔH_f (0 K)	-0.92	eV/atom
E above lowest polymorph	0.1619	eV/atom
energy	-5.0891	eV/atom

Cell: 6.688 6.688 4.299 Å, 90.00 90.00 90.00°
Space group P4/mbm (No. 127)
Symmetry-distinct sites (fractional):
Ca1 0.177 0.323 0.000
P1 0.124 0.624 0.500
Pt1 0.000 0.000 0.500

---

[6]
Crystalline CaPPt2 at its relaxed geometry. Source: the Alexandria database, functional PBE.

Values from the calculation:
ΔH_f (0 K)	-0.77	eV/atom
E above lowest polymorph	0.0242	eV/atom
energy	-5.6442	eV/atom

Cell: 4.258 3.770 5.358 Å, 90.00 90.08 90.00°
Space group P2/m (No. 10)
Symmetry-distinct sites (fractional):
Ca1 0.000 0.000 0.000
P1 0.500 0.000 0.500
Pt1 0.500 0.500 0.247

---

[7]
Crystalline Ca2P3Pt9 at its relaxed geometry. Source: the Alexandria database, functional PBE.

Values from the calculation:
ΔH_f (0 K)	-0.59	eV/atom
energy	-5.9216	eV/atom

Cell: 13.484 7.991 9.610 Å, 90.00 117.99 90.00°
Space group C2/c (No. 15)
Symmetry-distinct sites (fractional):
Ca1 0.171 0.084 0.253
P1 0.094 0.213 0.495
P2 0.250 0.250 0.000
Pt1 0.000 0.357 0.250
Pt2 0.063 0.072 0.924
Pt3 0.105 0.314 0.732
Pt4 0.109 0.403 0.049
Pt5 0.225 0.408 0.413

---

[8]
Crystalline Ca3P2Pt at its relaxed geometry. Source: the Alexandria database, functional PBE.

Values from the calculation:
ΔH_f (0 K)	-1.07	eV/atom
energy	-4.8845	eV/atom

Cell: 11.321 4.236 11.501 Å, 90.00 90.00 90.00°
Space group Pnma (No. 62)
Symmetry-distinct sites (fractional):
Ca1 0.058 0.250 0.120
Ca2 0.122 0.750 0.553
Ca3 0.206 0.250 0.810
P1 0.022 0.750 0.311
P2 0.191 0.750 0.989
Pt1 0.128 0.250 0.363

---

[9]
Crystalline Ca2PPt at its relaxed geometry. Source: the Alexandria database, functional PBE.

Values from the calculation:
ΔH_f (0 K)	-0.66	eV/atom
E above lowest polymorph	0.3267	eV/atom
energy	-4.5264	eV/atom

Cell: 3.9492 3.9492 22.1100 Å, 90.00 90.00 120.00°
Space group R-3m (No. 166, hexagonal axes)
Symmetry-distinct sites (fractional):
Ca1 0.0000 0.0000 0.2484
P1 0.0000 0.0000 0.0000
Pt1 0.0000 0.0000 0.5000

---

[10]
Crystalline CaP2Pt at its relaxed geometry. Source: the Alexandria database, functional PBE.

Values from the calculation:
ΔH_f (0 K)	-0.62	eV/atom
E above lowest polymorph	0.2712	eV/atom
energy	-5.3385	eV/atom

Cell: 7.067 7.067 6.672 Å, 90.00 90.00 90.00°
Space group I-42d (No. 122)
Symmetry-distinct sites (fractional):
Ca1 0.000 0.000 0.000
P1 0.173 0.250 0.625
Pt1 0.000 0.000 0.500

---

[11]
Crystalline CaPPt2 at its relaxed geometry. Source: the Alexandria database, functional PBE.

Values from the calculation:
ΔH_f (0 K)	-0.34	eV/atom
E above lowest polymorph	0.4525	eV/atom
energy	-5.2159	eV/atom

Cell: 5.663 9.825 2.886 Å, 90.00 120.59 90.00°
Space group C2/m (No. 12)
Symmetry-distinct sites (fractional):
Ca1 0.000 0.000 0.000
P1 0.000 0.500 0.000
Pt1 0.250 0.250 0.500

---

[12]
Crystalline Ca2PPt at its relaxed geometry. Source: the Alexandria database, functional PBE.

Values from the calculation:
ΔH_f (0 K)	-0.82	eV/atom
E above lowest polymorph	0.1656	eV/atom
energy	-4.6876	eV/atom

Cell: 7.000 7.000 7.000 Å, 90.00 90.00 90.00°
Space group Fm-3m (No. 225)
Symmetry-distinct sites (fractional):
Ca1 0.250 0.250 0.250
P1 0.000 0.000 0.000
Pt1 0.000 0.000 0.500